# 1
An optimized crystal structure of DyYAu2, computed with PBE.

Cell lengths 7.2106, 7.2106, 7.2106 Å; angles 90.00, 90.00, 90.00 degrees
Fractional positions:
Dy1 0.0000 0.0000 0.0000
Dy2 0.0000 0.5000 0.5000
Dy3 0.5000 0.0000 0.5000
Dy4 0.5000 0.5000 0.0000
Y1 0.0000 0.0000 0.5000
Y2 0.0000 0.5000 0.0000
Y3 0.5000 0.0000 0.0000
Y4 0.5000 0.5000 0.5000
Au1 0.2500 0.2500 0.2500
Au2 0.2500 0.2500 0.7500
Au3 0.2500 0.7500 0.2500
Au4 0.2500 0.7500 0.7500
Au5 0.7500 0.2500 0.2500
Au6 0.7500 0.2500 0.7500
Au7 0.7500 0.7500 0.2500
Au8 0.7500 0.7500 0.7500

Output
Its symmetry is Fm-3m. The value obtained for the total magnetization is 0.00 μB per cell.



# 2
An optimized crystal structure of DyYAu5, computed with PBE.

Cell lengths 5.2923, 5.2923, 11.2883 Å; angles 100.83, 100.83, 100.44 degrees
Fractional positions:
Dy1 0.0000 0.5000 0.0000
Dy2 0.5000 0.0000 0.5000
Y1 0.1808 0.8192 0.7500
Y2 0.8192 0.1808 0.2500
Au1 0.0624 0.2794 0.5430
Au2 0.1863 0.8137 0.2500
Au3 0.2794 0.0624 0.0430
Au4 0.3994 0.4028 0.3550
Au5 0.4028 0.3994 0.8550
Au6 0.5972 0.6006 0.1450
Au7 0.6006 0.5972 0.6450
Au8 0.7206 0.9376 0.9570
Au9 0.8137 0.1863 0.7500
Au10 0.9376 0.7206 0.4570

Output
Its symmetry is C2/c. The value obtained for the total magnetization is 0.00 μB per cell.



# 3
An optimized crystal structure of Dy2Y2Au3, computed with PBE.

Cell lengths 5.0274, 5.0279, 8.8131 Å; angles 106.32, 90.16, 119.98 degrees
Fractional positions:
Dy1 0.1250 0.2499 0.3746
Dy2 0.8750 0.7501 0.6254
Y1 0.3755 0.7504 0.1253
Y2 0.6245 0.2496 0.8747
Au1 0.2551 0.5108 0.7662
Au2 0.5000 0.0000 0.5000
Au3 0.7449 0.4892 0.2338

Output
Its symmetry is P-1. The value obtained for the total magnetization is 0.00 μB per cell.



# 4
An optimized crystal structure of DyYAu2, computed with PBE.

Cell lengths 5.1154, 5.1154, 3.5769 Å; angles 90.00, 90.00, 90.00 degrees
Fractional positions:
Dy1 0.0000 0.0000 0.0000
Y1 0.5000 0.5000 0.0000
Au1 0.0000 0.5000 0.5000
Au2 0.5000 0.0000 0.5000

Output
Its symmetry is P4/mmm. The value obtained for the total magnetization is 0.00 μB per cell.



# 5
An optimized crystal structure of Dy4Y3Au4, computed with PBE.

Cell lengths 9.0585, 9.0585, 9.0585 Å; angles 149.00, 129.76, 60.21 degrees
Fractional positions:
Dy1 0.0420 0.8276 0.2144
Dy2 0.3869 0.1724 0.2144
Dy3 0.6132 0.8276 0.7856
Dy4 0.9580 0.1724 0.7856
Y1 0.0000 0.5000 0.5000
Y2 0.3970 0.3970 0.0000
Y3 0.6030 0.6030 0.0000
Au1 0.2048 0.7048 0.5000
Au2 0.3123 0.0000 0.3123
Au3 0.6877 0.0000 0.6877
Au4 0.7952 0.2952 0.5000

Output
Its symmetry is Immm. The value obtained for the total magnetization is 0.00 μB per cell.



# 6
An optimized crystal structure of DyY4Au2, computed with PBE.

Cell lengths 10.2742, 10.2742, 10.2742 Å; angles 28.14, 28.14, 28.14 degrees
Fractional positions:
Dy1 0.0000 0.0000 0.0000
Y1 0.2020 0.2020 0.2020
Y2 0.3973 0.3973 0.3973
Y3 0.6027 0.6027 0.6027
Y4 0.7980 0.7980 0.7980
Au1 0.1008 0.1008 0.1008
Au2 0.8992 0.8992 0.8992

Output
Its symmetry is R-3m. The value obtained for the total magnetization is 0.00 μB per cell.



Number 1: calculated density 11.43 g cm⁻³, E_tot -5.26 eV per atom, energy of formation from the pure elements -0.855 eV/atom. Number 2: calculated density 13.81 g cm⁻³, E_tot -4.60 eV per atom, energy of formation from the pure elements -0.674 eV/atom. Number 3: calculated density 9.96 g cm⁻³, E_tot -5.25 eV per atom, energy of formation from the pure elements -0.686 eV/atom. Number 4: calculated density 11.45 g cm⁻³, E_tot -5.27 eV per atom, energy of formation from the pure elements -0.860 eV/atom. Number 5: calculated density 9.70 g cm⁻³, E_tot -5.20 eV per atom, energy of formation from the pure elements -0.567 eV/atom. Number 6: calculated density 7.11 g cm⁻³, E_tot -5.55 eV per atom, energy of formation from the pure elements -0.260 eV/atom.